This record from Alexandria via LeMat-Bulk describes MnFeAuF2 after structural relaxation. The functional is PBE+U.

Calculated values
Size of the total moment: 8.69 μB/f.u.
Energy: -5.068 eV per atom

Unit cell a=3.9102 b=6.7356 c=3.9102 alpha=90.00 beta=90.00 gamma=90.00
Closest atoms and distances in Å follow each position.
Fractional positions:
Mn  0.0000  0.0000  0.0000  4 F 1.96
F  0.0000  0.0000  0.5000  2 Mn 1.96
F  0.5000  0.0000  0.0000  2 Mn 1.96
Fe  0.0000  0.5000  0.0000  4 Au 2.76
Au  0.5000  0.5000  0.5000  4 Fe 2.76